Entry from the Alexandria database: crystalline NiAsPt2 at its relaxed geometry (PBE).

The calculated total energy is -5.5870 eV per atom. The value obtained for the total magnetization is 0.66 μB/f.u. Its volume is 15.1 A^3/atom.

a b c (Å): 2.8804 2.8804 25.2234
angles (deg): 90.00 90.00 120.00
Space group R-3m (No. 166, hexagonal axes)
Asymmetric unit:
1 Ni 0.0000 0.0000 0.0000 (multiplicity 3)
2 As 0.0000 0.0000 0.5000 (multiplicity 3)
3 Pt 0.0000 0.0000 0.2519 (multiplicity 6)

Entry from the Alexandria database: crystalline NiAs4Pt at its relaxed geometry (PBE).

The calculated total energy is -4.3410 eV per atom. The value obtained for the total magnetization is 0.00 μB/f.u. Its volume is 18.2 A^3/atom.

a b c (Å): 7.594 7.594 7.594
angles (deg): 90.00 90.00 90.00
Space group F-43m (No. 216)
Asymmetric unit:
1 Ni 0.000 0.000 0.000 (multiplicity 4)
2 As 0.126 0.126 0.626 (multiplicity 16)
3 Pt 0.250 0.250 0.250 (multiplicity 4)

Entry from the Alexandria database: crystalline NiAsPt2 at its relaxed geometry (PBE).

The calculated total energy is -5.6631 eV per atom. The value obtained for the total magnetization is 0.72 μB/f.u. Its volume is 14.8 A^3/atom.

a b c (Å): 3.908 3.908 3.880
angles (deg): 90.00 90.00 90.00
Space group P4/mmm (No. 123)
Asymmetric unit:
1 Ni 0.000 0.000 0.000 (multiplicity 1)
2 As 0.500 0.500 0.000 (multiplicity 1)
3 Pt 0.000 0.500 0.500 (multiplicity 2)

Entry from the Alexandria database: crystalline NiAs2Pt at its relaxed geometry (PBE).

The calculated total energy is -5.4017 eV per atom. The value obtained for the total magnetization is 0.00 μB/f.u. Its volume is 18.2 A^3/atom.

a b c (Å): 3.6900 3.6900 18.5099
angles (deg): 90.00 90.00 120.00
Space group R3m (No. 160, hexagonal axes)
Asymmetric unit:
1 Ni 0.0000 0.0000 0.0000 (multiplicity 3)
2 As 0.0000 0.0000 0.5162 (multiplicity 3)
3 As 0.0000 0.0000 0.7103 (multiplicity 3)
4 Pt 0.0000 0.0000 0.2505 (multiplicity 3)

Entry from the Alexandria database: crystalline Ni8As2Pt at its relaxed geometry (PBE).

The calculated total energy is -5.7086 eV per atom. The value obtained for the total magnetization is 0.00 μB/f.u. Its volume is 12.4 A^3/atom.

a b c (Å): 6.373 11.998 4.292
angles (deg): 90.00 124.06 90.00
Space group Cm (No. 8)
Asymmetric unit:
1 Ni 0.000 0.000 0.000 (multiplicity 2)
2 Ni 0.129 0.381 0.745 (multiplicity 4)
3 Ni 0.240 0.000 0.715 (multiplicity 2)
4 Ni 0.432 0.189 0.075 (multiplicity 4)
5 Ni 0.450 0.321 0.602 (multiplicity 4)
6 As 0.197 0.158 0.345 (multiplicity 4)
7 Pt 0.201 0.500 0.292 (multiplicity 2)

Entry from the Alexandria database: crystalline NiAsPt at its relaxed geometry (PBE).

The calculated total energy is -5.5686 eV per atom. The value obtained for the total magnetization is 0.00 μB/f.u. Its volume is 14.3 A^3/atom.

a b c (Å): 3.151 3.151 8.662
angles (deg): 90.00 90.00 90.00
Space group I4mm (No. 107)
Asymmetric unit:
1 Ni 0.000 0.000 0.000 (multiplicity 2)
2 As 0.000 0.000 0.371 (multiplicity 2)
3 Pt 0.000 0.000 0.683 (multiplicity 2)

Entry from the Alexandria database: crystalline Ni7As2Pt2 at its relaxed geometry (PBE).

The calculated total energy is -5.7368 eV per atom. The value obtained for the total magnetization is 0.00 μB/f.u. Its volume is 12.7 A^3/atom.

a b c (Å): 4.391 4.679 7.192
angles (deg): 108.02 95.58 90.42
Space group P-1 (No. 2)
Asymmetric unit:
1 Ni 0.000 0.000 0.000 (multiplicity 1)
2 Ni 0.082 0.822 0.601 (multiplicity 2)
3 Ni 0.446 0.274 0.604 (multiplicity 2)
4 Ni 0.497 0.240 0.958 (multiplicity 2)
5 As 0.394 0.206 0.271 (multiplicity 2)
6 Pt 0.015 0.592 0.201 (multiplicity 2)

Entry from the Alexandria database: crystalline Ni6AsPt at its relaxed geometry (PBE).

The calculated total energy is -5.7803 eV per atom. The value obtained for the total magnetization is 1.97 μB/f.u. Its volume is 11.9 A^3/atom.

a b c (Å): 7.244 10.251 10.247
angles (deg): 90.00 90.00 90.00
Space group Cmmm (No. 65)
Asymmetric unit:
1 Ni 0.000 0.000 0.000 (multiplicity 2)
2 Ni 0.000 0.000 0.500 (multiplicity 2)
3 Ni 0.000 0.248 0.244 (multiplicity 8)
4 Ni 0.000 0.500 0.000 (multiplicity 2)
5 Ni 0.000 0.500 0.500 (multiplicity 2)
6 Ni 0.246 0.124 0.372 (multiplicity 16)
7 Ni 0.248 0.125 0.122 (multiplicity 16)
8 As 0.000 0.000 0.252 (multiplicity 4)
9 As 0.000 0.251 0.000 (multiplicity 4)
10 Pt 0.000 0.252 0.500 (multiplicity 4)
11 Pt 0.000 0.500 0.251 (multiplicity 4)

Entry from the Alexandria database: crystalline NiAs2Pt at its relaxed geometry (PBE).

The calculated total energy is -5.2777 eV per atom. The value obtained for the total magnetization is 0.00 μB/f.u. Its volume is 15.5 A^3/atom.

a b c (Å): 4.308 4.308 3.340
angles (deg): 90.00 90.00 90.00
Space group P4/mmm (No. 123)
Asymmetric unit:
1 Ni 0.000 0.000 0.000 (multiplicity 1)
2 As 0.000 0.500 0.500 (multiplicity 2)
3 Pt 0.500 0.500 0.000 (multiplicity 1)

Entry from the Alexandria database: crystalline NiAsPt at its relaxed geometry (PBE).

The calculated total energy is -5.6317 eV per atom. The value obtained for the total magnetization is 0.00 μB/f.u. Its volume is 15.9 A^3/atom.

a b c (Å): 5.792 6.203 6.255
angles (deg): 70.46 64.82 86.41
Space group P1 (No. 1)
Asymmetric unit:
1 Ni 0.000 0.000 0.000 (multiplicity 1)
2 Ni 0.029 0.406 0.616 (multiplicity 1)
3 Ni 0.399 0.856 0.718 (multiplicity 1)
4 Ni 0.558 0.452 0.854 (multiplicity 1)
5 As 0.117 0.047 0.572 (multiplicity 1)
6 As 0.400 0.076 0.987 (multiplicity 1)
7 As 0.427 0.587 0.507 (multiplicity 1)
8 As 0.862 0.352 0.044 (multiplicity 1)
9 Pt 0.117 0.567 0.149 (multiplicity 1)
10 Pt 0.635 0.737 0.042 (multiplicity 1)
11 Pt 0.689 0.246 0.511 (multiplicity 1)
12 Pt 0.874 0.816 0.479 (multiplicity 1)